Entry 1:
Material: Tb4HgBi2
Method: DFT, PBE
State: optimized geometry

Computed properties:
As for the magnetic moment: 0.0004 μB per atom. As for the formation enthalpy at 0 K: -42.95 kJ/mol of atoms.

a = 15.8419 Å, b = 4.2610 Å, c = 7.6218 Å
α = 90.00°, β = 117.79°, γ = 90.00°
With the nearest neighbours (Å) after each atom.
Atoms (fractional coordinates):
Tb1 0.1104 0.0000 0.2533  1 Hg 3.11, 3 Bi 3.14-3.21
Tb2 0.1178 0.5000 0.8236  3 Bi 3.10-3.19, 2 Hg 3.13
Tb3 0.3822 0.0000 0.1764  3 Bi 3.10-3.19, 2 Hg 3.13
Tb4 0.3896 0.5000 0.7467  1 Hg 3.11, 3 Bi 3.14-3.21
Tb5 0.6104 0.5000 0.2533  1 Hg 3.11, 3 Bi 3.14-3.21
Tb6 0.6178 0.0000 0.8236  3 Bi 3.10-3.19, 2 Hg 3.13
Tb7 0.8822 0.5000 0.1764  3 Bi 3.10-3.19, 2 Hg 3.13
Tb8 0.8896 0.0000 0.7467  1 Hg 3.11, 3 Bi 3.14-3.21
Hg1 0.0000 0.0000 0.5000  6 Tb 3.11-3.13, 2 Bi 3.36
Hg2 0.5000 0.5000 0.5000  6 Tb 3.11-3.13, 2 Bi 3.36
Bi1 0.2400 0.0000 0.7267  6 Tb 3.10-3.21, 1 Hg 3.36
Bi2 0.2600 0.5000 0.2733  6 Tb 3.10-3.21, 1 Hg 3.36
Bi3 0.7400 0.5000 0.7267  6 Tb 3.10-3.21, 1 Hg 3.36
Bi4 0.7600 0.0000 0.2733  6 Tb 3.10-3.21, 1 Hg 3.36


Entry 2:
Material: Nb4InI7
Method: DFT, PBE
State: optimized geometry

Computed properties:
The raw formation energy is -277 kJ/mol of formula units. As for the magnetic moment: 0.0000 μB per atom.

a = 4.5648 Å, b = 21.7541 Å, c = 9.7910 Å
α = 90.00°, β = 90.00°, γ = 90.00°
With the nearest neighbours (Å) after each atom.
Atoms (fractional coordinates):
Nb1 0.2500 0.0179 0.1512  3 Nb 2.66-2.77, 4 I 2.82-2.94
Nb2 0.2500 0.4821 0.1512  3 Nb 2.66-2.77, 4 I 2.82-2.94
Nb3 0.2500 0.5694 0.9602  3 Nb 2.66-2.77, 4 I 2.81-2.93
Nb4 0.2500 0.9306 0.9602  3 Nb 2.66-2.77, 4 I 2.81-2.93
Nb5 0.7500 0.0694 0.0398  3 Nb 2.66-2.77, 4 I 2.81-2.93
Nb6 0.7500 0.4306 0.0398  3 Nb 2.66-2.77, 4 I 2.81-2.93
Nb7 0.7500 0.5179 0.8488  3 Nb 2.66-2.77, 4 I 2.82-2.94
Nb8 0.7500 0.9821 0.8488  3 Nb 2.66-2.77, 4 I 2.82-2.94
In1 0.2500 0.2500 0.6748  2 I 3.12
In2 0.7500 0.7500 0.3252  2 I 3.12
I1 0.2500 0.1493 0.1010  3 Nb 2.90-2.93
I2 0.2500 0.3507 0.1010  3 Nb 2.90-2.93
I3 0.2500 0.5450 0.6701  3 Nb 2.89-2.94
I4 0.2500 0.6060 0.2353  2 Nb 2.81-2.82
I5 0.2500 0.7500 0.5424  2 In 3.12
I6 0.2500 0.8940 0.2353  2 Nb 2.81-2.82
I7 0.2500 0.9550 0.6701  3 Nb 2.89-2.94
I8 0.7500 0.0450 0.3299  3 Nb 2.89-2.94
I9 0.7500 0.1060 0.7647  2 Nb 2.81-2.82
I10 0.7500 0.2500 0.4576  2 In 3.12
I11 0.7500 0.3940 0.7647  2 Nb 2.81-2.82
I12 0.7500 0.4550 0.3299  3 Nb 2.89-2.94
I13 0.7500 0.6493 0.8990  3 Nb 2.90-2.93
I14 0.7500 0.8507 0.8990  3 Nb 2.90-2.93


Entry 3:
Material: Ta2FePt2
Method: DFT, PBE
State: optimized geometry

Computed properties:
As for the magnetic moment: 0.0000 μB per atom. As for the formation enthalpy at 0 K: -11.75 kJ/mol of atoms.

a = 6.9811 Å, b = 6.9811 Å, c = 3.4281 Å
α = 90.00°, β = 90.00°, γ = 90.00°
With the nearest neighbours (Å) after each atom.
Atoms (fractional coordinates):
Ta1 0.1740 0.3260 0.0000  6 Pt 2.56-2.76
Ta2 0.3260 0.8260 0.0000  6 Pt 2.56-2.76
Ta3 0.6740 0.1740 0.0000  6 Pt 2.56-2.76
Ta4 0.8260 0.6740 0.0000  6 Pt 2.56-2.76
Fe1 0.0000 0.0000 0.5000  4 Pt 2.72
Fe2 0.5000 0.5000 0.5000  4 Pt 2.72
Pt1 0.1337 0.6337 0.5000  6 Ta 2.56-2.76, 1 Pt 2.64, 2 Fe 2.72
Pt2 0.3663 0.1337 0.5000  6 Ta 2.56-2.76, 1 Pt 2.64, 2 Fe 2.72
Pt3 0.6337 0.8663 0.5000  6 Ta 2.56-2.76, 1 Pt 2.64, 2 Fe 2.72
Pt4 0.8663 0.3663 0.5000  6 Ta 2.56-2.76, 1 Pt 2.64, 2 Fe 2.72


Entry 4:
Material: DyScS
Method: DFT, PBE
State: optimized geometry

Computed properties:
The raw formation energy is -361 kJ/mol of formula units. As for the magnetic moment: 0.0000 μB per atom. The calculation puts the energy above the lowest structure with this stoichiometry at 0.0 meV per atom.

a = 3.6857 Å, b = 3.6857 Å, c = 17.7101 Å
α = 90.00°, β = 90.00°, γ = 120.00°
With the nearest neighbours (Å) after each atom.
Atoms (fractional coordinates):
Dy1 0.0000 0.0000 0.0000  3 S 2.72
Dy2 0.3333 0.6667 0.6667  3 S 2.72
Dy3 0.6667 0.3333 0.3333  3 S 2.72
Sc1 0.0000 0.0000 0.5070  3 S 2.54
Sc2 0.3333 0.6667 0.1736  3 S 2.54
Sc3 0.6667 0.3333 0.8403  3 S 2.54
S1 0.0000 0.0000 0.7620  3 Sc 2.54, 3 Dy 2.72
S2 0.3333 0.6667 0.4287  3 Sc 2.54, 3 Dy 2.72
S3 0.6667 0.3333 0.0954  3 Sc 2.54, 3 Dy 2.72


Entry 5:
Material: HfZrIr
Method: DFT, PBE
State: optimized geometry

Computed properties:
As for the magnetic moment: 0.0000 μB per atom. The calculation puts the energy above the lowest structure with this stoichiometry at 2.1 meV per atom. As for the formation enthalpy at 0 K: -61.34 kJ/mol of atoms.

a = 8.3640 Å, b = 8.3640 Å, c = 8.3640 Å
α = 118.83°, β = 81.00°, γ = 132.39°
With the nearest neighbours (Å) after each atom.
Atoms (fractional coordinates):
Hf1 0.0000 0.0000 0.0000  4 Ir 2.66-2.78
Hf2 0.0000 0.5000 0.5000  4 Ir 2.66-2.78
Hf3 0.2463 0.3584 0.8496  4 Ir 2.61-2.91
Hf4 0.2463 0.8967 0.3880  4 Ir 2.61-2.91
Hf5 0.5088 0.3967 0.1504  4 Ir 2.61-2.91
Hf6 0.5088 0.8584 0.6120  4 Ir 2.61-2.91
Zr1 0.2205 0.2753 0.4452  2 Ir 2.83, 2 Hf 3.12
Zr2 0.2400 0.7817 0.9584  5 Ir 2.79-3.07
Zr3 0.6469 0.9124 0.2345  3 Ir 2.72-2.91
Zr4 0.6779 0.4124 0.7655  3 Ir 2.72-2.91
Zr5 0.8233 0.2817 0.0416  5 Ir 2.79-3.07
Zr6 0.8301 0.7753 0.5548  2 Ir 2.83, 2 Hf 3.12
Ir1 0.2348 0.5105 0.2243  2 Zr 2.72-2.79, 6 Hf 2.77-2.91
Ir2 0.2863 0.0105 0.7757  2 Zr 2.72-2.79, 6 Hf 2.77-2.91
Ir3 0.5933 0.2563 0.3339  3 Hf 2.61-2.73, 3 Zr 2.83-2.91
Ir4 0.5933 0.7594 0.8370  3 Hf 2.61-2.73, 3 Zr 2.83-2.91
Ir5 0.9224 0.2594 0.6661  3 Hf 2.61-2.73, 3 Zr 2.83-2.91
Ir6 0.9224 0.7563 0.1630  3 Hf 2.61-2.73, 3 Zr 2.83-2.91


Entry 6:
Material: CaSm5Y2
Method: DFT, PBE
State: optimized geometry

Computed properties:
As for the magnetic moment: 0.0000 μB per atom. As for the formation enthalpy at 0 K: 4.60 kJ/mol of atoms.

a = 3.6296 Å, b = 11.4599 Å, c = 13.3242 Å
α = 90.00°, β = 90.00°, γ = 90.00°
With the nearest neighbours (Å) after each atom.
Atoms (fractional coordinates):
Ca1 0.0000 0.0000 0.0000  2 Ca 3.63, 4 Y 3.70, 8 Sm 4.05
Ca2 0.5000 0.5000 0.5000  2 Ca 3.63, 4 Y 3.70, 8 Sm 4.05
Sm1 0.0000 0.2253 0.3656  3 Y 3.46-3.56, 7 Sm 3.58-3.63
Sm2 0.0000 0.2253 0.6344  3 Y 3.46-3.56, 7 Sm 3.58-3.63
Sm3 0.0000 0.5000 0.0000  2 Y 3.44, 10 Sm 3.63
Sm4 0.0000 0.7747 0.3656  3 Y 3.46-3.56, 7 Sm 3.58-3.63
Sm5 0.0000 0.7747 0.6344  3 Y 3.46-3.56, 7 Sm 3.58-3.63
Sm6 0.5000 0.0000 0.5000  2 Y 3.44, 10 Sm 3.63
Sm7 0.5000 0.2747 0.1344  3 Y 3.46-3.56, 7 Sm 3.58-3.63
Sm8 0.5000 0.2747 0.8656  3 Y 3.46-3.56, 7 Sm 3.58-3.63
Sm9 0.5000 0.7253 0.1344  3 Y 3.46-3.56, 7 Sm 3.58-3.63
Sm10 0.5000 0.7253 0.8656  3 Y 3.46-3.56, 7 Sm 3.58-3.63
Y1 0.0000 0.5000 0.2581  7 Sm 3.44-3.56, 2 Y 3.63, 2 Ca 3.70
Y2 0.0000 0.5000 0.7419  7 Sm 3.44-3.56, 2 Y 3.63, 2 Ca 3.70
Y3 0.5000 0.0000 0.2419  7 Sm 3.44-3.56, 2 Y 3.63, 2 Ca 3.70
Y4 0.5000 0.0000 0.7581  7 Sm 3.44-3.56, 2 Y 3.63, 2 Ca 3.70


Entry 7:
Material: Hf12Tc5Sb3
Method: DFT, PBE
State: optimized geometry

Computed properties:
The raw formation energy is 956 kJ/mol of formula units. As for the magnetic moment: 0.0000 μB per atom.

a = 13.7453 Å, b = 13.7453 Å, c = 13.7453 Å
α = 109.47°, β = 109.47°, γ = 109.47°
With the nearest neighbours (Å) after each atom.
Atoms (fractional coordinates):
Hf1 0.0354 0.2074 0.1191  2 Tc 2.48-2.55
Hf2 0.0354 0.3280 0.9163  2 Tc 2.48-2.55
Hf3 0.0837 0.6191 0.4117  2 Tc 2.48-2.55
Hf4 0.0837 0.9646 0.6720  2 Tc 2.48-2.55
Hf5 0.0883 0.7074 0.6720  2 Tc 2.48-2.55
Hf6 0.0883 0.8809 0.4163  2 Tc 2.48-2.55
Hf7 0.1191 0.0354 0.2074  2 Tc 2.48-2.55
Hf8 0.1191 0.5837 0.9117  2 Tc 2.48-2.55
Hf9 0.1720 0.2074 0.5883  2 Tc 2.48-2.55
Hf10 0.1720 0.4646 0.5837  2 Tc 2.48-2.55
Hf11 0.2074 0.1191 0.0354  2 Tc 2.48-2.55
Hf12 0.2074 0.5883 0.1720  2 Tc 2.48-2.55
Hf13 0.2925 0.3280 0.9117  2 Tc 2.48-2.55
Hf14 0.2925 0.4646 0.3809  2 Tc 2.48-2.55
Hf15 0.3280 0.9117 0.2925  2 Tc 2.48-2.55
Hf16 0.3280 0.9163 0.0354  2 Tc 2.48-2.55
Hf17 0.3809 0.2925 0.4646  2 Tc 2.48-2.55
Hf18 0.3809 0.5883 0.9163  2 Tc 2.48-2.55
Hf19 0.4117 0.0837 0.6191  2 Tc 2.48-2.55
Hf20 0.4117 0.8280 0.7926  2 Tc 2.48-2.55
Hf21 0.4163 0.0883 0.8809  2 Tc 2.48-2.55
Hf22 0.4163 0.8280 0.5354  2 Tc 2.48-2.55
Hf23 0.4646 0.3809 0.2925  2 Tc 2.48-2.55
Hf24 0.4646 0.5837 0.1720  2 Tc 2.48-2.55
Hf25 0.5354 0.4163 0.8280  2 Tc 2.48-2.55
Hf26 0.5354 0.6191 0.7074  2 Tc 2.48-2.55
Hf27 0.5837 0.1720 0.4646  2 Tc 2.48-2.55
Hf28 0.5837 0.9117 0.1191  2 Tc 2.48-2.55
Hf29 0.5883 0.1720 0.2074  2 Tc 2.48-2.55
Hf30 0.5883 0.9163 0.3809  2 Tc 2.48-2.55
Hf31 0.6191 0.4117 0.0837  2 Tc 2.48-2.55
Hf32 0.6191 0.7074 0.5354  2 Tc 2.48-2.55
Hf33 0.6720 0.0837 0.9646  2 Tc 2.48-2.55
Hf34 0.6720 0.0883 0.7074  2 Tc 2.48-2.55
Hf35 0.7074 0.5354 0.6191  2 Tc 2.48-2.55
Hf36 0.7074 0.6720 0.0883  2 Tc 2.48-2.55
Hf37 0.7926 0.4117 0.8280  2 Tc 2.48-2.55
Hf38 0.7926 0.8809 0.9646  2 Tc 2.48-2.55
Hf39 0.8280 0.5354 0.4163  2 Tc 2.48-2.55
Hf40 0.8280 0.7926 0.4117  2 Tc 2.48-2.55
Hf41 0.8809 0.4163 0.0883  2 Tc 2.48-2.55
Hf42 0.8809 0.9646 0.7926  2 Tc 2.48-2.55
Hf43 0.9117 0.1191 0.5837  2 Tc 2.48-2.55
Hf44 0.9117 0.2925 0.3280  2 Tc 2.48-2.55
Hf45 0.9163 0.0354 0.3280  2 Tc 2.48-2.55
Hf46 0.9163 0.3809 0.5883  2 Tc 2.48-2.55
Hf47 0.9646 0.6720 0.0837  2 Tc 2.48-2.55
Hf48 0.9646 0.7926 0.8809  2 Tc 2.48-2.55
Tc1 0.0000 0.0000 0.0000  6 Hf 2.55
Tc2 0.0000 0.0000 0.5000  6 Hf 2.55
Tc3 0.0000 0.5000 0.0000  6 Hf 2.55
Tc4 0.0000 0.5000 0.5000  6 Hf 2.55
Tc5 0.1250 0.7500 0.8750  4 Hf 2.48
Tc6 0.1250 0.8750 0.2500  4 Hf 2.48
Tc7 0.2500 0.1250 0.8750  4 Hf 2.48
Tc8 0.2500 0.6250 0.3750  4 Hf 2.48
Tc9 0.3750 0.2500 0.6250  4 Hf 2.48
Tc10 0.3750 0.6250 0.7500  4 Hf 2.48
Tc11 0.5000 0.0000 0.0000  6 Hf 2.55
Tc12 0.5000 0.0000 0.5000  6 Hf 2.55
Tc13 0.5000 0.5000 0.0000  6 Hf 2.55
Tc14 0.5000 0.5000 0.5000  6 Hf 2.55
Tc15 0.6250 0.3750 0.2500  4 Hf 2.48
Tc16 0.6250 0.7500 0.3750  4 Hf 2.48
Tc17 0.7500 0.3750 0.6250  4 Hf 2.48
Tc18 0.7500 0.8750 0.1250  4 Hf 2.48
Tc19 0.8750 0.1250 0.7500  4 Hf 2.48
Tc20 0.8750 0.2500 0.1250  4 Hf 2.48
Sb1 0.1250 0.2500 0.3750  8 Hf 3.03-3.08
Sb2 0.1250 0.3750 0.7500  8 Hf 3.03-3.08
Sb3 0.2500 0.3750 0.1250  8 Hf 3.03-3.08
Sb4 0.2500 0.8750 0.6250  8 Hf 3.03-3.08
Sb5 0.3750 0.1250 0.2500  8 Hf 3.03-3.08
Sb6 0.3750 0.7500 0.1250  8 Hf 3.03-3.08
Sb7 0.6250 0.2500 0.8750  8 Hf 3.03-3.08
Sb8 0.6250 0.8750 0.7500  8 Hf 3.03-3.08
Sb9 0.7500 0.1250 0.3750  8 Hf 3.03-3.08
Sb10 0.7500 0.6250 0.8750  8 Hf 3.03-3.08
Sb11 0.8750 0.6250 0.2500  8 Hf 3.03-3.08
Sb12 0.8750 0.7500 0.6250  8 Hf 3.03-3.08


Entry 8:
Material: DyAu2Cl6
Method: DFT, PBE
State: optimized geometry

Computed properties:
The raw formation energy is -912 kJ/mol of formula units. As for the magnetic moment: 0.0000 μB per atom.

a = 9.4112 Å, b = 9.4112 Å, c = 7.0800 Å
α = 98.04°, β = 98.04°, γ = 82.36°
With the nearest neighbours (Å) after each atom.
Atoms (fractional coordinates):
Dy1 0.0804 0.9196 0.7500  6 Cl 2.66-2.67
Dy2 0.9196 0.0804 0.2500  6 Cl 2.66-2.67
Au1 0.2718 0.4780 0.8812  2 Cl 2.30-2.36
Au2 0.4780 0.2718 0.3812  2 Cl 2.30-2.36
Au3 0.5220 0.7282 0.6188  2 Cl 2.30-2.36
Au4 0.7282 0.5220 0.1188  2 Cl 2.30-2.36
Cl1 0.0224 0.1726 0.6105  2 Dy 2.67
Cl2 0.0703 0.6526 0.8275  1 Au 2.36
Cl3 0.1726 0.0224 0.1105  2 Dy 2.67
Cl4 0.3107 0.4395 0.5224  1 Au 2.30
Cl5 0.3474 0.9297 0.6725  1 Au 2.36
Cl6 0.4395 0.3107 0.0224  1 Au 2.30
Cl7 0.5605 0.6893 0.9776  1 Au 2.30
Cl8 0.6526 0.0703 0.3275  1 Au 2.36
Cl9 0.6893 0.5605 0.4776  1 Au 2.30
Cl10 0.8274 0.9776 0.8895  2 Dy 2.67
Cl11 0.9297 0.3474 0.1725  1 Au 2.36
Cl12 0.9776 0.8274 0.3895  2 Dy 2.67


Entry 9:
Material: V2ReN
Method: DFT, PBE
State: optimized geometry

Computed properties:
The raw formation energy is -89 kJ/mol of formula units. As for the magnetic moment: 0.0001 μB per atom.

a = 2.5881 Å, b = 2.5881 Å, c = 6.8445 Å
α = 90.00°, β = 90.00°, γ = 90.00°
With the nearest neighbours (Å) after each atom.
Atoms (fractional coordinates):
V1 0.0000 0.0000 0.1759  4 N 2.19, 1 V 2.41
V2 0.0000 0.0000 0.8241  4 N 2.19, 1 V 2.41
Re1 0.5000 0.5000 0.5000  4 Re 2.59, 8 V 2.88
N1 0.5000 0.5000 0.0000  8 V 2.19


Entry 10:
Material: HfZn2B2C
Method: DFT, PBE
State: optimized geometry

Computed properties:
As for the magnetic moment: 0.0000 μB per atom. As for the formation enthalpy at 0 K: 8.63 kJ/mol of atoms.

a = 4.8944 Å, b = 4.8927 Å, c = 6.2466 Å
α = 90.00°, β = 112.82°, γ = 90.00°
With the nearest neighbours (Å) after each atom.
Atoms (fractional coordinates):
Hf1 0.0000 0.0000 0.0000  4 C 2.45
Hf2 0.5000 0.5000 0.0000  4 C 2.45
Zn1 0.0000 0.2499 0.5000  4 B 2.22-2.24, 4 Zn 2.45
Zn2 0.0000 0.7501 0.5000  4 B 2.22-2.24, 4 Zn 2.45
Zn3 0.5000 0.2501 0.5000  4 B 2.22-2.24, 4 Zn 2.45
Zn4 0.5000 0.7499 0.5000  4 B 2.22-2.24, 4 Zn 2.45
B1 0.1263 0.5000 0.2561  1 C 1.47
B2 0.3737 0.0000 0.7439  1 C 1.47
B3 0.6263 0.0000 0.2561  1 C 1.47
B4 0.8737 0.5000 0.7439  1 C 1.47
C1 0.0000 0.5000 0.0000  2 B 1.47
C2 0.5000 0.0000 0.0000  2 B 1.47


Entry 11:
Material: UCrS3
Method: DFT, PBE
State: optimized geometry

Computed properties:
The raw formation energy is -521 kJ/mol of formula units. As for the magnetic moment: 1.1821 μB per atom. The calculation puts the energy above the lowest structure with this stoichiometry at 0.0 meV per atom.

a = 7.0507 Å, b = 8.8496 Å, c = 6.1095 Å
α = 90.00°, β = 90.00°, γ = 90.00°
With the nearest neighbours (Å) after each atom.
Atoms (fractional coordinates):
U1 0.1188 0.2500 0.0568  6 S 2.69-2.79
U2 0.3812 0.7500 0.5568  6 S 2.69-2.79
U3 0.6188 0.2500 0.4432  6 S 2.69-2.79
U4 0.8812 0.7500 0.9432  6 S 2.69-2.79
Cr1 0.0000 0.0000 0.5000  6 S 2.40-2.53
Cr2 0.0000 0.5000 0.5000  6 S 2.40-2.53
Cr3 0.5000 0.0000 0.0000  6 S 2.40-2.53
Cr4 0.5000 0.5000 0.0000  6 S 2.40-2.53
S1 0.0416 0.7500 0.3545  2 Cr 2.40
S2 0.1796 0.5578 0.8343  2 Cr 2.46-2.53
S3 0.1796 0.9422 0.8343  2 Cr 2.46-2.53
S4 0.3204 0.0578 0.3343  2 Cr 2.46-2.53
S5 0.3204 0.4422 0.3343  2 Cr 2.46-2.53
S6 0.4584 0.2500 0.8545  2 Cr 2.40
S7 0.5416 0.7500 0.1455  2 Cr 2.40
S8 0.6796 0.5578 0.6657  2 Cr 2.46-2.53
S9 0.6796 0.9422 0.6657  2 Cr 2.46-2.53
S10 0.8204 0.0578 0.1657  2 Cr 2.46-2.53
S11 0.8204 0.4422 0.1657  2 Cr 2.46-2.53
S12 0.9584 0.2500 0.6455  2 Cr 2.40


Entry 12:
Material: KSb4Pb12
Method: DFT, PBE
State: optimized geometry

Computed properties:
The raw formation energy is 120 kJ/mol of formula units. As for the magnetic moment: 0.0000 μB per atom.

a = 9.3294 Å, b = 9.3294 Å, c = 9.3294 Å
α = 109.47°, β = 109.47°, γ = 109.47°
With the nearest neighbours (Å) after each atom.
Atoms (fractional coordinates):
K1 0.0000 0.0000 0.0000  12 Pb 4.14
Sb1 0.0000 0.0000 0.5000  6 Pb 3.11
Sb2 0.0000 0.5000 0.0000  6 Pb 3.11
Sb3 0.5000 0.0000 0.0000  6 Pb 3.11
Sb4 0.5000 0.5000 0.5000  6 Pb 3.11
Pb1 0.1502 0.5036 0.3534  2 Sb 3.11, 2 Pb 3.16-3.24
Pb2 0.1502 0.7968 0.6466  2 Sb 3.11, 2 Pb 3.16-3.24
Pb3 0.2032 0.3534 0.8498  2 Sb 3.11, 2 Pb 3.16-3.24
Pb4 0.3534 0.1502 0.5036  2 Sb 3.11, 2 Pb 3.16-3.24
Pb5 0.3534 0.8498 0.2032  2 Sb 3.11, 2 Pb 3.16-3.24
Pb6 0.4964 0.6466 0.8498  2 Sb 3.11, 2 Pb 3.16-3.24
Pb7 0.5036 0.3534 0.1502  2 Sb 3.11, 2 Pb 3.16-3.24
Pb8 0.6466 0.1502 0.7968  2 Sb 3.11, 2 Pb 3.16-3.24
Pb9 0.6466 0.8498 0.4964  2 Sb 3.11, 2 Pb 3.16-3.24
Pb10 0.7968 0.6466 0.1502  2 Sb 3.11, 2 Pb 3.16-3.24
Pb11 0.8498 0.2032 0.3534  2 Sb 3.11, 2 Pb 3.16-3.24
Pb12 0.8498 0.4964 0.6466  2 Sb 3.11, 2 Pb 3.16-3.24